{
  "formula": "Na2NbInCu",
  "functional": "GGA-PBE",
  "state": "relaxed",
  "n_ef_per_ev_fu": 4.20,
  "ef_ev_per_atom": 0.761,
  "vol_a3_per_cell": 121,
  "density_g_cm3": 4.36,
  "final_energy_ha_per_atom": -0.1157,
  "magnetic_moment_mub_per_cell": 0.00,
  "cell": [[4.877, 0.000, 0.000], [0.000, 4.877, 0.000], [0.000, 0.000, 5.082]],
  "species": ["Na", "Na", "Nb", "In", "Cu"],
  "fractional_positions": [[0.000, 0.500, 0.000], [0.500, 0.000, 0.000], [0.000, 0.000, 0.500], [0.500, 0.500, 0.500], [0.000, 0.000, 0.000]]
}



{
  "formula": "Na3In3CuO8",
  "functional": "GGA-PBE",
  "state": "relaxed",
  "n_ef_per_ev_fu": 3.69,
  "formation_energy_uncorrected_ev_per_atom": -1.326,
  "vol_a3_per_cell": 198,
  "density_g_cm3": 5.08,
  "final_energy_ha_per_atom": -0.1858,
  "magnetic_moment_mub_per_cell": 1.00,
  "cell": [[5.552, -3.219, 0.000], [5.552, 3.219, 0.000], [-3.725, 0.000, 5.529]],
  "species": ["Na", "Na", "Na", "In", "In", "In", "Cu", "O", "O", "O", "O", "O", "O", "O", "O"],
  "fractional_positions": [[0.000, 0.000, 0.000], [0.000, 0.500, 0.000], [0.500, 0.000, 0.000], [0.000, 0.500, 0.500], [0.500, 0.000, 0.500], [0.500, 0.500, 0.500], [0.000, 0.000, 0.500], [0.214, 0.214, 0.695], [0.220, 0.759, 0.699], [0.241, 0.780, 0.301], [0.261, 0.261, 0.286], [0.739, 0.739, 0.714], [0.759, 0.220, 0.699], [0.780, 0.241, 0.301], [0.786, 0.786, 0.305]]
}



{
  "formula": "NaInCuPd",
  "functional": "GGA-PBE",
  "state": "relaxed",
  "n_ef_per_ev_fu": 1.82,
  "ef_ev_per_atom": -0.103,
  "vol_a3_per_cell": 71,
  "density_g_cm3": 7.24,
  "final_energy_ha_per_atom": -0.1264,
  "magnetic_moment_mub_per_cell": 0.00,
  "cell": [[0.000, 3.280, 3.280], [3.280, 0.000, 3.280], [3.280, 3.280, 0.000]],
  "species": ["Na", "In", "Cu", "Pd"],
  "fractional_positions": [[0.000, 0.000, 0.000], [0.500, 0.500, 0.500], [0.250, 0.250, 0.250], [0.750, 0.750, 0.750]]
}



{
  "formula": "NaInCuPt",
  "functional": "GGA-PBE",
  "state": "relaxed",
  "n_ef_per_ev_fu": 1.02,
  "ef_ev_per_atom": -0.157,
  "vol_a3_per_cell": 69,
  "density_g_cm3": 9.52,
  "final_energy_ha_per_atom": -0.1362,
  "magnetic_moment_mub_per_cell": 0.00,
  "cell": [[0.000, 3.258, 3.258], [3.258, 0.000, 3.258], [3.258, 3.258, 0.000]],
  "species": ["Na", "In", "Cu", "Pt"],
  "fractional_positions": [[0.000, 0.000, 0.000], [0.250, 0.250, 0.250], [0.750, 0.750, 0.750], [0.500, 0.500, 0.500]]
}



{
  "formula": "NaIn2CuS4",
  "functional": "GGA-PBE",
  "state": "relaxed",
  "formation_energy_uncorrected_ev_per_atom": -0.648,
  "vol_a3_per_cell": 195,
  "density_g_cm3": 3.79,
  "final_energy_ha_per_atom": -0.1497,
  "magnetic_moment_mub_per_cell": 0.00,
  "cell": [[-2.877, 2.877, 5.882], [2.877, -2.877, 5.882], [2.877, 2.877, -5.882]],
  "species": ["Na", "In", "In", "Cu", "S", "S", "S", "S"],
  "fractional_positions": [[0.000, 0.000, 0.000], [0.250, 0.750, 0.500], [0.750, 0.250, 0.500], [0.500, 0.500, 0.000], [0.152, 0.599, 0.000], [0.401, 0.401, 0.553], [0.599, 0.152, 0.000], [0.848, 0.848, 0.447]]
}



{
  "formula": "NaInCuSe2",
  "functional": "GGA-PBE",
  "state": "relaxed",
  "n_ef_per_ev_fu": 1.77,
  "formation_energy_uncorrected_ev_per_atom": -0.499,
  "vol_a3_per_cell": 251,
  "density_g_cm3": 4.76,
  "final_energy_ha_per_atom": -0.1295,
  "magnetic_moment_mub_per_cell": 0.00,
  "cell": [[7.238, 0.000, 0.000], [0.000, 4.843, 0.000], [-2.682, 0.000, 7.147]],
  "species": ["Na", "Na", "In", "In", "Cu", "Cu", "Se", "Se", "Se", "Se"],
  "fractional_positions": [[0.000, 0.227, 0.250], [0.000, 0.773, 0.750], [0.500, 0.392, 0.750], [0.500, 0.608, 0.250], [0.500, 0.000, 0.000], [0.500, 0.000, 0.500], [0.236, 0.277, 0.992], [0.236, 0.723, 0.492], [0.764, 0.277, 0.508], [0.764, 0.723, 0.008]]
}



{
  "formula": "NaSmInCu",
  "functional": "GGA-PBE",
  "state": "relaxed",
  "n_ef_per_ev_fu": 1.45,
  "ef_ev_per_atom": -0.130,
  "vol_a3_per_cell": 86,
  "density_g_cm3": 6.80,
  "final_energy_ha_per_atom": -0.1231,
  "magnetic_moment_mub_per_cell": 0.00,
  "cell": [[0.000, 3.502, 3.502], [3.502, 0.000, 3.502], [3.502, 3.502, 0.000]],
  "species": ["Na", "Sm", "In", "Cu"],
  "fractional_positions": [[0.000, 0.000, 0.000], [0.250, 0.250, 0.250], [0.750, 0.750, 0.750], [0.500, 0.500, 0.500]]
}



{
  "formula": "NaIn2CuSn",
  "functional": "GGA-PBE",
  "state": "relaxed",
  "n_ef_per_ev_fu": 2.96,
  "ef_ev_per_atom": 0.086,
  "vol_a3_per_cell": 138,
  "density_g_cm3": 5.24,
  "final_energy_ha_per_atom": -0.1063,
  "magnetic_moment_mub_per_cell": 0.00,
  "cell": [[5.147, 0.000, 0.000], [0.000, 5.147, 0.000], [0.000, 0.000, 5.200]],
  "species": ["Na", "In", "In", "Cu", "Sn"],
  "fractional_positions": [[0.000, 0.000, 0.000], [0.000, 0.500, 0.500], [0.500, 0.000, 0.500], [0.500, 0.500, 0.500], [0.500, 0.500, 0.000]]
}



{
  "formula": "NaTa2InCu",
  "functional": "GGA-PBE",
  "state": "relaxed",
  "n_ef_per_ev_fu": 3.02,
  "ef_ev_per_atom": 1.886,
  "vol_a3_per_cell": 100,
  "density_g_cm3": 9.34,
  "final_energy_ha_per_atom": -0.1648,
  "magnetic_moment_mub_per_cell": 0.00,
  "cell": [[4.781, 0.000, 0.000], [0.000, 4.781, 0.000], [0.000, 0.000, 4.382]],
  "species": ["Na", "Ta", "Ta", "In", "Cu"],
  "fractional_positions": [[0.000, 0.000, 0.000], [0.000, 0.500, 0.000], [0.500, 0.000, 0.000], [0.500, 0.500, 0.500], [0.000, 0.000, 0.500]]
}



{
  "formula": "NaTbInCu",
  "functional": "GGA-PBE",
  "state": "relaxed",
  "n_ef_per_ev_fu": 1.05,
  "ef_ev_per_atom": -0.113,
  "vol_a3_per_cell": 83,
  "density_g_cm3": 7.17,
  "final_energy_ha_per_atom": -0.1216,
  "magnetic_moment_mub_per_cell": 0.00,
  "cell": [[0.000, 3.468, 3.468], [3.468, 0.000, 3.468], [3.468, 3.468, 0.000]],
  "species": ["Na", "Tb", "In", "Cu"],
  "fractional_positions": [[0.000, 0.000, 0.000], [0.250, 0.250, 0.250], [0.750, 0.750, 0.750], [0.500, 0.500, 0.500]]
}



{
  "formula": "NaIn2CuTc",
  "functional": "GGA-PBE",
  "state": "relaxed",
  "n_ef_per_ev_fu": 2.66,
  "ef_ev_per_atom": 1.592,
  "vol_a3_per_cell": 134,
  "density_g_cm3": 5.13,
  "final_energy_ha_per_atom": -0.0977,
  "magnetic_moment_mub_per_cell": 3.18,
  "cell": [[5.221, 0.000, 0.000], [0.000, 5.221, 0.000], [0.000, 0.000, 4.915]],
  "species": ["Na", "In", "In", "Cu", "Tc"],
  "fractional_positions": [[0.000, 0.000, 0.000], [0.000, 0.500, 0.000], [0.500, 0.000, 0.000], [0.500, 0.500, 0.500], [0.000, 0.000, 0.500]]
}



{
  "formula": "NaTlIn2Cu",
  "functional": "GGA-PBE",
  "state": "relaxed",
  "n_ef_per_ev_fu": 3.09,
  "ef_ev_per_atom": 0.085,
  "vol_a3_per_cell": 141,
  "density_g_cm3": 6.12,
  "final_energy_ha_per_atom": -0.0943,
  "magnetic_moment_mub_per_cell": 0.00,
  "cell": [[5.149, 0.000, 0.000], [0.000, 5.149, 0.000], [0.000, 0.000, 5.328]],
  "species": ["Na", "Tl", "In", "In", "Cu"],
  "fractional_positions": [[0.000, 0.000, 0.000], [0.500, 0.500, 0.000], [0.000, 0.500, 0.500], [0.500, 0.000, 0.500], [0.500, 0.500, 0.500]]
}